Entry from the Alexandria database: an optimized crystal structure of LaTb2NdIn (PBE).

The value obtained for the calculated volume is 33.68 Å³ per atom. Its density of states at the Fermi level is 11.98 states/eV/cell. The value obtained for the energy of formation is 0.036 eV per atom.

a b c (Å): 8.3288 8.3288 6.6557
angles (deg): 90.00 90.00 133.16
Closest atoms and distances in Å follow each position.
Positions (direct):
La 0.2487 0.7513 0.7500  4 Nd 3.60-3.63, 4 In 3.68
La 0.7513 0.2487 0.2500  4 Nd 3.60-3.63, 4 In 3.68
Tb 0.2430 0.2430 0.0000  2 In 3.22, 4 Tb 3.22-3.40, 2 Nd 3.37
Tb 0.2430 0.2430 0.5000  2 In 3.22, 4 Tb 3.22-3.40, 2 Nd 3.37
Tb 0.7570 0.7570 0.0000  2 In 3.22, 4 Tb 3.22-3.40, 2 Nd 3.37
Tb 0.7570 0.7570 0.5000  2 In 3.22, 4 Tb 3.22-3.40, 2 Nd 3.37
Nd 0.3437 0.6563 0.2500  1 In 3.02, 4 Tb 3.37
Nd 0.6563 0.3437 0.7500  1 In 3.02, 4 Tb 3.37
In 0.1462 0.8538 0.2500  1 Nd 3.02, 4 Tb 3.22
In 0.8538 0.1462 0.7500  1 Nd 3.02, 4 Tb 3.22


Entry from the Alexandria database: an optimized crystal structure of LiAl2In (PBE).

The value obtained for the calculated volume is 19.11 Å³ per atom. Its density of states at the Fermi level is 0.89 states/eV/cell. The value obtained for the energy of formation is 0.008 eV per atom.

a b c (Å): 4.7551 4.7551 4.7551
angles (deg): 60.24 60.24 60.24
Closest atoms and distances in Å follow each position.
Positions (direct):
Li 0.0000 0.0000 0.0000  4 Al 2.90-2.92, 4 In 2.91-2.92
Al 0.2498 0.2498 0.2498  4 Al 2.90-2.92, 4 Li 2.90-2.92
Al 0.4990 0.4990 0.4990  4 Al 2.90-2.92, 4 In 2.91-2.92
In 0.7494 0.7494 0.7494  4 Al 2.91-2.92, 4 Li 2.91-2.92


Entry from the Alexandria database: an optimized crystal structure of Cr2SeSI (PBE).

The value obtained for the calculated volume is 24.15 Å³ per atom. For the uncorrected formation energy, the calculation gives 465 meV/atom. Its density of states at the Fermi level is 4.50 states/eV/cell.

a b c (Å): 4.9696 4.9696 4.8884
angles (deg): 90.00 90.00 90.00
Closest atoms and distances in Å follow each position.
Positions (direct):
Cr 0.0000 0.5000 0.0000  2 S 2.48
Cr 0.5000 0.0000 0.0000  2 S 2.48
Se 0.0000 0.0000 0.5000  2 S 2.44
S 0.0000 0.0000 0.0000  2 Se 2.44, 4 Cr 2.48
I 0.5000 0.5000 0.5000  8 Cr 3.49, 4 Se 3.51


Entry from the Alexandria database: an optimized crystal structure of Ca2HfCo (PBE).

The value obtained for the calculated volume is 31.39 Å³ per atom. Its density of states at the Fermi level is 5.77 states/eV/cell. The value obtained for the energy of formation is 0.515 eV per atom. The calculation puts the energy above the most stable polymorph in this dataset at 0.000 eV per atom.

a b c (Å): 7.7017 7.7017 7.7017
angles (deg): 95.25 95.25 144.78
Closest atoms and distances in Å follow each position.
Positions (direct):
Ca 0.3750 0.2257 0.3507  2 Co 2.86
Ca 0.7743 0.1250 0.1493  2 Co 2.86
Ca 0.8750 0.0243 0.6493  2 Co 2.86
Ca 0.9757 0.6250 0.8507  2 Co 2.86
Hf 0.2500 0.7500 0.5000  2 Co 2.33
Hf 0.5000 0.5000 0.0000  2 Co 2.33
Co 0.0000 0.0000 0.0000  2 Hf 2.33
Co 0.7500 0.2500 0.5000  2 Hf 2.33


Entry from the Alexandria database: an optimized crystal structure of POsCS2 (PBE).

The value obtained for the calculated volume is 12.38 Å³ per atom. For the uncorrected formation energy, the calculation gives 1394 meV/atom. Its density of states at the Fermi level is 2.99 states/eV/cell. The calculation puts the energy above the most stable polymorph in this dataset at 0.000 eV per atom.

a b c (Å): 4.0062 4.0062 3.8571
angles (deg): 90.00 90.00 90.00
Closest atoms and distances in Å follow each position.
Positions (direct):
P 0.0000 0.0000 0.0000  2 C 1.93
Os 0.5000 0.5000 0.0000  8 S 2.78, 4 P 2.83
C 0.0000 0.0000 0.5000  2 P 1.93, 4 S 2.00
S 0.0000 0.5000 0.5000  2 C 2.00
S 0.5000 0.0000 0.5000  2 C 2.00


Entry from the Alexandria database: an optimized crystal structure of Ca2LaI6 (PBE).

The value obtained for the calculated volume is 46.34 Å³ per atom. For the uncorrected formation energy, the calculation gives -1511 meV/atom. Its density of states at the Fermi level is 3.88 states/eV/cell.

a b c (Å): 8.9156 8.9156 11.7460
angles (deg): 108.99 108.99 28.31
Closest atoms and distances in Å follow each position.
Positions (direct):
Ca 0.1680 0.1680 0.3341  6 I 3.13-3.17
Ca 0.8320 0.8320 0.6659  6 I 3.13-3.17
La 0.5000 0.5000 0.0000  6 I 3.26-3.28
I 0.1499 0.1499 0.0579  1 Ca 3.15, 2 La 3.28
I 0.1943 0.1943 0.6147  3 Ca 3.13-3.17
I 0.4706 0.4706 0.7106  2 Ca 3.15, 1 La 3.26
I 0.5294 0.5294 0.2894  2 Ca 3.15, 1 La 3.26
I 0.8057 0.8057 0.3853  3 Ca 3.13-3.17
I 0.8501 0.8501 0.9421  1 Ca 3.15, 2 La 3.28


Entry from the Alexandria database: an optimized crystal structure of ZrGa2Pt (PBE).

The value obtained for the calculated volume is 17.04 Å³ per atom. Its density of states at the Fermi level is 2.11 states/eV/cell. The value obtained for the energy of formation is -0.487 eV per atom.

a b c (Å): 4.5852 4.5852 4.5852
angles (deg): 60.00 60.00 60.00
Closest atoms and distances in Å follow each position.
Positions (direct):
Zr 0.0000 0.0000 0.0000  8 Ga 2.81
Ga 0.2500 0.2500 0.2500  4 Zr 2.81, 4 Pt 2.81
Ga 0.7500 0.7500 0.7500  4 Zr 2.81, 4 Pt 2.81
Pt 0.5000 0.5000 0.5000  8 Ga 2.81


Entry from the Alexandria database: an optimized crystal structure of La2PtRhC (PBE).

The value obtained for the calculated volume is 21.70 Å³ per atom. Its density of states at the Fermi level is 2.67 states/eV/cell. The value obtained for the energy of formation is -0.616 eV per atom.

a b c (Å): 5.2958 5.2958 3.8680
angles (deg): 90.00 90.00 90.00
Closest atoms and distances in Å follow each position.
Positions (direct):
La 0.0000 0.5000 0.0000  2 C 2.65
La 0.5000 0.0000 0.0000  2 C 2.65
Pt 0.0000 0.0000 0.5000  8 La 3.28
Rh 0.5000 0.5000 0.5000  2 C 1.93
C 0.5000 0.5000 0.0000  2 Rh 1.93